DFT (PBE) results for a relaxed ScPa2Ta crystal.

* total magnetization: 0.0 μB/cell
* crystal system: trigonal
* uncorrected energy: -36.12 eV per formula unit
* formation energy from the elements: 0.2643 eV per atom

a b c (Å): 3.0489 3.0489 34.1336
angles (deg): 90.00 90.00 120.00
With the nearest neighbours (Å) after each atom.
Space group R-3m (No. 166, hexagonal axes)
Inequivalent atoms, fractional coordinates:
Sc  0.0000  0.0000  0.0000  2 Pa 2.98, 6 Sc 3.05
Pa  0.0000  0.0000  0.0872  1 Sc 2.98, 6 Pa 3.05, 3 Ta 3.23
Ta  0.0000  0.0000  0.5000  6 Ta 3.05, 6 Pa 3.23